[1]
# PBE Tl2SnHgPt, relaxed
# **Total moment**: 0.0 μB/cell
# **Energy relative to the elements**: 15 meV/atom
data_Tl2SnHgPt
_chemical_formula_sum 'Tl2 Sn1 Hg1 Pt1'
_space_group_name_H-M_alt 'P 4/m m m'
_space_group_IT_number 123
_space_group_name_Hall '-P 4 2'
_cell_length_a 5.3751
_cell_length_b 5.3751
_cell_length_c 5.2940
_cell_angle_alpha 90.00
_cell_angle_beta 90.00
_cell_angle_gamma 90.00
loop_
_atom_site_label
_atom_site_type_symbol
_atom_site_fract_x
_atom_site_fract_y
_atom_site_fract_z
_atom_site_occupancy
Tl1 Tl 0.0000 0.5000 0.0000 1
Sn1 Sn 0.0000 0.0000 0.5000 1
Hg1 Hg 0.5000 0.5000 0.5000 1
Pt1 Pt 0.0000 0.0000 0.0000 1

[2]
# PBE TmSnHgPt, relaxed
# **Total moment**: 0.0 μB/cell
# **Energy relative to the elements**: -596 meV/atom
data_TmSnHgPt
_chemical_formula_sum 'Tm4 Sn4 Hg4 Pt4'
_space_group_name_H-M_alt 'F -4 3 m'
_space_group_IT_number 216
_space_group_name_Hall 'F -4 2 3'
_cell_length_a 7.0027
_cell_length_b 7.0027
_cell_length_c 7.0027
_cell_angle_alpha 90.00
_cell_angle_beta 90.00
_cell_angle_gamma 90.00
loop_
_atom_site_label
_atom_site_type_symbol
_atom_site_fract_x
_atom_site_fract_y
_atom_site_fract_z
_atom_site_occupancy
Tm1 Tm 0.0000 0.0000 0.0000 1
Sn1 Sn 0.0000 0.0000 0.5000 1
Hg1 Hg 0.2500 0.2500 0.7500 1
Pt1 Pt 0.2500 0.2500 0.2500 1

[3]
# PBE Sn2HgPtW, relaxed
# **Total moment**: 3.8 μB/cell
# **Energy relative to the elements**: 1133 meV/atom
data_Sn2HgPtW
_chemical_formula_sum 'Sn2 Hg1 Pt1 W1'
_space_group_name_H-M_alt 'P 4/m m m'
_space_group_IT_number 123
_space_group_name_Hall '-P 4 2'
_cell_length_a 5.1355
_cell_length_b 5.1355
_cell_length_c 5.1727
_cell_angle_alpha 90.00
_cell_angle_beta 90.00
_cell_angle_gamma 90.00
loop_
_atom_site_label
_atom_site_type_symbol
_atom_site_fract_x
_atom_site_fract_y
_atom_site_fract_z
_atom_site_occupancy
Sn1 Sn 0.0000 0.5000 0.0000 1
Hg1 Hg 0.0000 0.0000 0.5000 1
Pt1 Pt 0.0000 0.0000 0.0000 1
W1 W 0.5000 0.5000 0.5000 1

- Number 3 is which compound?
  Sn2HgPtW

- energy relative to the elements of number 3 (Sn2HgPtW)?
  1133 meV/atom